No. 1
## Li2CoF4 (PBE+U)

Data for a relaxed structure of Li2CoF4.

Calculated values
Space group: C2/m
Relative energy among the computed polymorphs in eV per formula unit: 0.00

Cell and atoms, written as POSCAR:
```
Li2CoF4
1.0
10.659 0.000 0.000
0.000 3.232 0.000
-1.473 0.000 4.758
Li Co F
4 2 8
Direct
0.146 0.000 0.023
0.354 0.500 0.977
0.646 0.500 0.023
0.854 0.000 0.977
0.000 0.500 0.500
0.500 0.000 0.500
0.058 0.000 0.299
0.160 0.500 0.825
0.340 0.000 0.175
0.442 0.500 0.701
0.558 0.500 0.299
0.660 0.000 0.825
0.840 0.500 0.175
0.942 0.000 0.701
```


No. 2
## ThWO3 (PBE+U)

Data for a relaxed structure of ThWO3.

Calculated values
Space group: Pm-3m

Cell and atoms, written as POSCAR:
```
ThWO3
1.0
4.132 0.000 0.000
0.000 4.132 0.000
0.000 0.000 4.132
Th W O
1 1 3
Direct
0.000 0.000 0.000
0.500 0.500 0.500
0.000 0.500 0.500
0.500 0.000 0.500
0.500 0.500 0.000
```


no.,Fermi-level density of states (states/eV/cell),VASP energy (eV per formula unit)
1,0.00,-33.57
2,3.61,-39.18